Entry 1:
A plane-wave DFT calculation with meta-GGA SCAN was carried out for a crystal of Na3BP2O8 relaxed with PBEsol.

* raw formation energy: -2526 meV per atom
* total magnetic moment: 0.00 μB per formula unit
* density of states at the Fermi level: 0.00 states/eV/cell

POSCAR file:
```
Na3BP2O8
1.0
6.309 -5.144 0.000
6.309 5.144 0.000
-0.380 0.000 10.204
Na B P O
12 4 8 32
Cartesian
6.024 4.723 7.653 Na
3.094 1.137 2.742 Na
4.971 1.177 6.330 Na
6.214 1.555 2.551 Na
2.904 -1.137 7.843 Na
7.076 1.177 8.975 Na
5.161 -1.177 1.228 Na
9.333 1.137 2.360 Na
6.024 -1.555 7.653 Na
7.266 -1.177 3.873 Na
9.143 -1.137 7.462 Na
6.214 -4.723 2.551 Na
1.313 1.135 10.189 B
1.503 -1.135 5.087 B
10.734 1.135 5.116 B
10.924 -1.135 0.014 B
5.055 3.682 4.675 P
3.933 1.326 9.587 P
7.372 3.682 0.427 P
4.123 -1.326 4.485 P
8.114 1.326 5.719 P
4.865 -3.682 9.777 P
8.304 -1.326 0.617 P
7.182 -3.682 5.528 P
4.873 3.489 6.169 O
4.053 2.886 9.288 O
5.832 3.873 0.822 O
4.509 2.576 3.819 O
2.422 0.979 9.239 O
1.473 0.055 5.998 O
1.663 -0.055 0.896 O
6.595 3.873 4.280 O
7.174 3.489 9.137 O
4.634 1.015 0.828 O
2.612 -0.979 4.137 O
4.770 0.603 8.550 O
7.994 2.886 6.017 O
7.919 2.576 1.282 O
4.961 -0.603 3.448 O
4.444 -1.015 5.930 O
7.793 1.015 4.273 O
7.277 0.603 6.755 O
4.319 -2.576 8.921 O
4.243 -2.886 4.186 O
7.467 -0.603 1.653 O
9.625 0.979 6.066 O
7.603 -1.015 9.375 O
5.063 -3.489 1.067 O
5.642 -3.873 5.923 O
10.574 0.055 9.308 O
10.765 -0.055 4.206 O
9.815 -0.979 0.964 O
7.728 -2.576 6.384 O
6.405 -3.873 9.382 O
8.185 -2.886 0.916 O
7.364 -3.489 4.035 O
```

=====

Entry 2:
A plane-wave DFT calculation with meta-GGA SCAN was carried out for a crystal of Na2SnBPO7 relaxed with PBEsol.

* raw formation energy: -2234 meV per atom
* total magnetic moment: 0.06 μB per formula unit
* density of states at the Fermi level: 0.00 states/eV/cell

POSCAR file:
```
Na2SnBPO7
1.0
5.325 0.000 0.000
0.000 6.648 0.000
-0.873 0.000 9.745
Na Sn B P O
4 2 2 2 14
Cartesian
1.021 0.028 3.222 Na
1.021 3.296 3.222 Na
3.431 3.353 6.523 Na
3.431 6.620 6.523 Na
0.421 4.986 8.311 Sn
4.031 1.662 1.434 Sn
0.947 4.986 5.839 B
3.505 1.662 3.905 B
0.550 1.662 9.109 P
3.902 4.986 0.636 P
-0.358 4.986 6.403 O
0.626 1.662 0.687 O
0.214 0.428 8.249 O
0.214 2.896 8.249 O
1.279 4.986 4.564 O
2.373 4.986 0.304 O
1.901 4.986 6.918 O
2.551 1.662 2.826 O
2.079 1.662 9.441 O
3.173 1.662 5.180 O
4.238 3.752 1.496 O
4.238 6.220 1.496 O
3.826 4.986 9.058 O
4.810 1.662 3.342 O
```

=====

Entry 3:
A plane-wave DFT calculation with meta-GGA SCAN was carried out for a crystal of Na3VBPO7 relaxed with PBEsol.

* raw formation energy: -2496 meV per atom
* total magnetic moment: 2.00 μB per formula unit

POSCAR file:
```
Na3VBPO7
1.0
5.233 0.000 0.000
0.000 6.492 0.000
-0.221 0.000 8.884
Na V B P O
6 2 2 2 14
Cartesian
1.242 1.623 0.639 Na
1.142 3.263 6.610 Na
1.142 6.475 6.610 Na
3.869 0.017 2.274 Na
3.869 3.229 2.274 Na
3.770 4.869 8.244 Na
1.091 4.869 2.959 V
3.920 1.623 5.924 V
1.413 4.869 0.575 B
3.599 1.623 8.309 B
1.382 1.623 3.756 P
3.630 4.869 5.127 P
0.157 4.869 1.198 O
0.513 1.623 5.027 O
1.060 0.391 2.868 O
1.060 2.855 2.868 O
1.402 4.869 8.134 O
2.124 4.869 4.750 O
2.440 4.869 1.544 O
2.572 1.623 7.340 O
2.887 1.623 4.134 O
3.610 1.623 0.750 O
3.952 3.637 6.015 O
3.952 6.101 6.015 O
4.499 4.869 3.857 O
4.855 1.623 7.686 O
```

=====

Entry 4:
A plane-wave DFT calculation with meta-GGA SCAN was carried out for a crystal of NaB5PbO9 relaxed with PBEsol.

* raw formation energy: -2466 meV per atom
* total magnetic moment: 0.00 μB per formula unit
* density of states at the Fermi level: 0.00 states/eV/cell

POSCAR file:
```
NaB5PbO9
1.0
6.527 0.000 0.000
0.000 13.215 0.000
-2.213 0.000 8.256
Na B Pb O
4 20 4 36
Cartesian
-0.598 1.176 3.029 Na
-1.704 5.431 7.157 Na
6.019 7.784 1.099 Na
4.913 12.038 5.227 Na
-1.590 1.996 7.069 B
-0.484 4.612 2.942 B
0.265 3.257 0.986 B
-0.841 3.350 5.114 B
0.240 7.293 6.209 B
1.346 12.529 2.081 B
0.586 1.494 6.007 B
1.692 5.113 1.879 B
2.384 7.411 1.106 B
1.277 12.410 5.234 B
3.037 0.804 3.021 B
1.931 5.803 7.149 B
2.622 8.101 6.377 B
3.729 11.721 2.249 B
2.968 0.686 6.174 B
4.075 5.921 2.046 B
5.156 9.865 3.142 B
4.050 9.957 7.270 B
4.799 8.603 5.314 B
5.905 11.219 1.186 B
1.700 9.456 3.657 Pb
0.594 10.366 7.784 Pb
3.720 2.849 0.471 Pb
2.614 3.759 4.599 Pb
-1.065 8.892 4.044 O
-2.171 10.930 8.171 O
-1.591 9.800 6.226 O
-0.484 10.022 2.098 O
-1.066 7.443 5.928 O
0.040 12.379 1.801 O
0.279 2.549 4.978 O
1.385 4.058 0.850 O
-0.171 1.707 7.218 O
0.935 4.900 3.090 O
0.336 0.197 5.373 O
1.443 6.410 1.245 O
1.993 8.612 0.648 O
0.887 11.210 4.776 O
1.717 0.550 2.616 O
0.610 6.057 6.744 O
1.186 8.282 6.027 O
2.292 11.540 1.899 O
2.022 1.675 6.356 O
3.129 4.933 2.229 O
3.704 7.158 1.512 O
2.598 12.664 5.640 O
3.428 2.004 3.480 O
2.322 4.603 7.607 O
2.872 6.804 7.010 O
3.978 13.017 2.882 O
3.379 8.314 5.166 O
4.485 11.508 1.038 O
2.930 9.157 7.405 O
4.036 10.665 3.278 O
4.275 0.836 6.455 O
5.381 5.772 2.327 O
4.799 3.192 6.158 O
5.905 3.415 2.030 O
6.486 2.284 0.084 O
5.380 4.323 4.212 O
```